Entry 1:
{"formula": "CdMo2RhN", "functional": "PBE-GGA", "state": "optimized geometry", "total_energy_ry_per_atom": -0.39633, "e_form_raw_ev_per_atom": 2.259, "lattice": [[4.7688, 0.0000, 0.0000], [0.0000, 4.7688, 0.0000], [0.0000, 0.0000, 5.1321]], "species": ["Cd", "Mo", "Mo", "Rh", "N"], "frac_coords": [[0.0000, 0.0000, 0.0000], [0.0000, 0.5000, 0.5000], [0.5000, 0.0000, 0.5000], [0.0000, 0.0000, 0.5000], [0.5000, 0.5000, 0.0000]]}

---

Entry 2:
{"formula": "SrRe2Pt", "functional": "PBE-GGA", "state": "optimized geometry", "de_polymorph_mev_per_atom": 0, "formation_enthalpy_0k_ev_per_fu": 0.97, "total_energy_ry_per_atom": -0.58149, "lattice": [[2.1387, 1.2348, 5.9397], [-2.1387, 1.2348, 5.9397], [0.0000, -2.4696, 5.9397]], "species": ["Sr", "Re", "Re", "Pt"], "frac_coords": [[0.0000, 0.0000, 0.0000], [0.1928, 0.1928, 0.1928], [0.5221, 0.5221, 0.5221], [0.7864, 0.7864, 0.7864]]}

---

Entry 3:
{"formula": "Sm2Ho3Bi2", "functional": "PBE-GGA", "state": "optimized geometry", "formation_enthalpy_0k_ev_per_fu": -3.27, "total_energy_ry_per_atom": -0.35911, "lattice": [[6.1478, -2.1731, 0.0000], [6.1478, 2.1731, 0.0000], [-2.8447, 0.0000, 8.2347]], "species": ["Sm", "Sm", "Ho", "Ho", "Ho", "Bi", "Bi"], "frac_coords": [[0.1265, 0.1265, 0.2791], [0.8735, 0.8735, 0.7209], [0.3754, 0.3754, 0.0539], [0.5000, 0.5000, 0.5000], [0.6246, 0.6246, 0.9461], [0.1727, 0.1727, 0.6949], [0.8273, 0.8273, 0.3051]]}

---

Entry 4:
{"formula": "SbTe2O6", "functional": "PBE-GGA", "state": "optimized geometry", "de_polymorph_mev_per_atom": 24, "total_energy_ry_per_atom": -0.39664, "e_form_raw_ev_per_atom": -0.935, "lattice": [[5.2083, -1.9949, 0.0000], [5.2083, 1.9949, 0.0000], [-3.3247, 0.0000, 7.2440]], "species": ["Sb", "Te", "Te", "O", "O", "O", "O", "O", "O"], "frac_coords": [[0.0000, 0.0000, 0.0000], [0.1899, 0.1899, 0.6669], [0.8101, 0.8101, 0.3331], [0.0490, 0.0490, 0.7588], [0.2959, 0.2959, 0.3752], [0.3604, 0.3604, 0.8927], [0.6396, 0.6396, 0.1073], [0.7041, 0.7041, 0.6248], [0.9510, 0.9510, 0.2412]]}